Here is a relaxed structure of Cs2InI from the Alexandria database. Energies are from GGA-PBE.

## Properties
* formation energy (no corrections): -0.45 eV/atom
* polymorph energy (0 for the lowest one): 0 meV per atom
* calculated total energy: -1.95 eV per atom

Unit cell a=9.5305 b=9.5305 c=9.5305 alpha=90.00 beta=90.00 gamma=90.00
Space group Fm-3m (No. 225)
Asymmetric unit:
Cs 0.2500 0.2500 0.2500
In 0.0000 0.0000 0.0000
I 0.0000 0.0000 0.5000



Here is a relaxed structure of Cs3InI3 from the Alexandria database. Energies are from GGA-PBE.

## Properties
* formation energy (no corrections): -1.06 eV/atom
* calculated total energy: -2.48 eV per atom

Unit cell a=10.8796 b=14.9065 c=10.6620 alpha=90.00 beta=101.11 gamma=90.00
Space group C2/m (No. 12)
Asymmetric unit:
Cs 0.0000 0.1569 0.0000
Cs 0.0000 0.1821 0.5000
Cs 0.0984 0.5000 0.7050
In 0.1551 0.5000 0.0517
I 0.0683 0.0000 0.2868
I 0.1560 0.3354 0.2612